VASP calculation (PBE) on an optimized crystal structure of HgTeRu2.

Cell: 3.1275 4.1426 5.8045 Å, 90.00 103.87 90.00°
Closest atoms and distances in Å follow each position.
Atoms (fractional coordinates):
Hg 0.0000 0.0000 0.0000  2 Te 2.95, 8 Ru 2.97-3.05, 2 Hg 3.13
Te 0.5000 0.0000 0.5000  4 Ru 2.56
Ru 0.3552 0.5000 0.7304  2 Te 2.56
Ru 0.6448 0.5000 0.2696  2 Te 2.56

As for the formation energy (no corrections): 0.60 eV per atom. Its spin magnetization is 0.0 μB/f.u. As for the crystal system: monoclinic. The calculation puts the energy above the most stable polymorph in this dataset at 226 meV per atom.